[1]
First-principles (SCAN) data for a PBEsol-optimized structure of Ti3BRh, as listed in the Alexandria database.

Results
DFT total energy = -90.78 eV/cell
Symmetry = Pm-3m
ΔE_f = -0.30 eV/atom
Fermi-level density of states = 1.410 states/eV per atom

```
5
Lattice="4.1735 0.0000 0.0000 0.0000 4.1735 0.0000 0.0000 0.0000 4.1735" Properties=species:S:1:pos:R:3 pbc="T T T"
Ti 0.0000 0.0000 2.0868
Ti 0.0000 2.0868 0.0000
Ti 2.0868 0.0000 0.0000
B 0.0000 0.0000 0.0000
Rh 2.0868 2.0868 2.0868
```



[2]
First-principles (SCAN) data for a PBEsol-optimized structure of Ti2BRh6, as listed in the Alexandria database.

Results
DFT total energy = -249.18 eV/cell
Symmetry = Fm-3m
ΔE_f = -0.78 eV/atom
Fermi-level density of states = 0.466 states/eV per atom

```
9
Lattice="0.0000 3.8942 3.8942 3.8942 0.0000 3.8942 3.8942 3.8942 0.0000" Properties=species:S:1:pos:R:3 pbc="T T T"
Ti 1.9471 1.9471 1.9471
Ti 5.8412 5.8412 5.8412
B 0.0000 0.0000 0.0000
Rh 3.8942 3.8942 2.0150
Rh 3.8942 2.0150 3.8942
Rh 5.7733 3.8942 3.8942
Rh 2.0150 3.8942 3.8942
Rh 3.8942 5.7733 3.8942
Rh 3.8942 3.8942 5.7733
```